Material: CaAc2Al3Pd4
Method: DFT, PBE-GGA
State: optimized geometry

Unit cell a=4.5454 b=4.5454 c=10.8739 alpha=90.00 beta=90.00 gamma=90.00
Last column: nearest neighbours and their distance in Å.
Fractional positions:
Al 0.5000 0.0000 0.8925  5 Pd 2.56-2.57
Al 0.0000 0.0000 0.5000  4 Pd 2.83
Al 0.0000 0.5000 0.1075  5 Pd 2.56-2.57
Pd 0.0000 0.0000 0.0000  4 Al 2.56
Pd 0.0000 0.5000 0.3442  3 Al 2.57-2.83, 2 Ca 2.83
Pd 0.5000 0.0000 0.6558  3 Al 2.57-2.83, 2 Ca 2.83
Pd 0.5000 0.5000 0.0000  4 Al 2.56
Ac 0.0000 0.5000 0.7691  8 Pd 3.39-3.44, 7 Al 3.48-3.70, 2 Ca 3.70
Ac 0.5000 0.0000 0.2309  8 Pd 3.39-3.44, 7 Al 3.48-3.70, 2 Ca 3.70
Ca 0.5000 0.5000 0.5000  4 Pd 2.83

Calculated values
- Formation enthalpy at 0 K: -759 meV per atom